No. 1
Compound: ZnCu2Ag
Source: Alexandria via LeMat-Bulk
Functional: SCAN
Structure: PBEsol geometry

Calculated values
Its energy of formation from the pure elements is 0.04 eV per atom. As for the total moment: 0.00 μB per formula unit. As for the raw total energy: -18.781 eV/atom.

```
data_ZnCu2Ag
_chemical_formula_sum 'Zn2 Cu4 Ag2'
_space_group_name_H-M_alt 'C 1 2/m 1'
_space_group_IT_number 12
_cell_length_a 8.776
_cell_length_b 2.738
_cell_length_c 4.525
_cell_angle_alpha 90.00
_cell_angle_beta 102.87
_cell_angle_gamma 90.00
loop_
_space_group_symop_operation_xyz
'x,y,z'
'-x,-y,-z'
'-x,y,-z'
'x,-y,z'
'x+1/2,y+1/2,z'
'-x+1/2,-y+1/2,-z'
'-x+1/2,y+1/2,-z'
'x+1/2,-y+1/2,z'
loop_
_atom_site_label
_atom_site_type_symbol
_atom_site_fract_x
_atom_site_fract_y
_atom_site_fract_z
_atom_site_occupancy
Zn1 Zn 0.000 0.000 0.000 1
Cu1 Cu 0.244 0.500 0.239 1
Ag1 Ag 0.000 0.500 0.500 1
```

=====

No. 2
Compound: ZnCuAg2
Source: Alexandria via LeMat-Bulk
Functional: SCAN
Structure: PBEsol geometry

Calculated values
Its energy of formation from the pure elements is 0.05 eV per atom. As for the total moment: 0.00 μB per formula unit. As for the raw total energy: -22.813 eV/atom.

```
data_ZnCuAg2
_chemical_formula_sum 'Zn2 Cu2 Ag4'
_space_group_name_H-M_alt 'C 1 2/m 1'
_space_group_IT_number 12
_cell_length_a 8.886
_cell_length_b 2.814
_cell_length_c 4.792
_cell_angle_alpha 90.00
_cell_angle_beta 100.87
_cell_angle_gamma 90.00
loop_
_space_group_symop_operation_xyz
'x,y,z'
'-x,-y,-z'
'-x,y,-z'
'x,-y,z'
'x+1/2,y+1/2,z'
'-x+1/2,-y+1/2,-z'
'-x+1/2,y+1/2,-z'
'x+1/2,-y+1/2,z'
loop_
_atom_site_label
_atom_site_type_symbol
_atom_site_fract_x
_atom_site_fract_y
_atom_site_fract_z
_atom_site_occupancy
Zn1 Zn 0.000 0.000 0.000 1
Cu1 Cu 0.000 0.500 0.500 1
Ag1 Ag 0.249 0.000 0.748 1
```

=====

No. 3
Compound: Zn2CuAg
Source: Alexandria via LeMat-Bulk
Functional: SCAN
Structure: PBEsol geometry

Calculated values
Its energy of formation from the pure elements is -0.01 eV per atom. As for the total moment: 0.00 μB per formula unit. As for the raw total energy: -18.412 eV/atom.

```
data_Zn2CuAg
_chemical_formula_sum 'Zn2 Cu1 Ag1'
_space_group_name_H-M_alt 'P m m 2'
_space_group_IT_number 25
_cell_length_a 2.730
_cell_length_b 4.332
_cell_length_c 4.684
_cell_angle_alpha 90.00
_cell_angle_beta 90.00
_cell_angle_gamma 90.00
loop_
_space_group_symop_operation_xyz
'x,y,z'
'-x,-y,z'
'-x,y,z'
'x,-y,z'
loop_
_atom_site_label
_atom_site_type_symbol
_atom_site_fract_x
_atom_site_fract_y
_atom_site_fract_z
_atom_site_occupancy
Zn1 Zn 0.000 0.000 0.000 1
Zn2 Zn 0.000 0.500 0.342 1
Cu1 Cu 0.500 0.500 0.862 1
Ag1 Ag 0.500 0.000 0.509 1
```